# 1
Computed, not measured: a relaxed structure of SbMoCl2 at the PBE level of DFT.

Cell and atoms, written as CIF:
```
data_SbMoCl2
_symmetry_space_group_name_H-M 'I m m m'
_symmetry_Int_Tables_number 71
_symmetry_space_group_name_Hall '-I 2 2'
_cell_length_a 3.0729
_cell_length_b 4.8955
_cell_length_c 14.1870
_cell_angle_alpha 90.00
_cell_angle_beta 90.00
_cell_angle_gamma 90.00
loop_
_atom_site_label
_atom_site_type_symbol
_atom_site_fract_x
_atom_site_fract_y
_atom_site_fract_z
_atom_site_occupancy
Sb1 Sb 0.0000 0.0000 0.0000 1
Mo1 Mo 0.0000 0.0000 0.5000 1
Cl1 Cl 0.0000 0.5000 0.1423 1
```

Results
- total moment (μB/f.u.) = 0.006
- volume (Å³ per cell) = 213
- polymorph energy (0 for the lowest one) (kJ/mol of atoms) = 14.26

***

# 2
Computed, not measured: a relaxed structure of TiAs2W at the PBE level of DFT.

Cell and atoms, written as CIF:
```
data_TiAs2W
_symmetry_space_group_name_H-M 'R -3 m'
_symmetry_Int_Tables_number 166
_symmetry_space_group_name_Hall '-R 3 2"'
_cell_length_a 3.6991
_cell_length_b 3.6991
_cell_length_c 17.6192
_cell_angle_alpha 90.00
_cell_angle_beta 90.00
_cell_angle_gamma 120.00
loop_
_atom_site_label
_atom_site_type_symbol
_atom_site_fract_x
_atom_site_fract_y
_atom_site_fract_z
_atom_site_occupancy
Ti1 Ti 0.0000 0.0000 0.0000 1
As1 As 0.0000 0.0000 0.2500 1
W1 W 0.0000 0.0000 0.5000 1
```

Results
- total moment (μB/f.u.) = 0.175
- volume (Å³ per cell) = 209
- polymorph energy (0 for the lowest one) (kJ/mol of atoms) = 21.82
- formation energy (eV/f.u.) = 0.0